(1)
# PBE NdMgPdRu, optimized geometry
data_NdMgPdRu
_chemical_formula_sum 'Nd4 Mg4 Pd4 Ru4'
_symmetry_space_group_name_H-M 'F -4 3 m'
_symmetry_Int_Tables_number 216
_symmetry_space_group_name_Hall 'F -4 2 3'
_cell_length_a 6.7535
_cell_length_b 6.7535
_cell_length_c 6.7535
_cell_angle_alpha 90.00
_cell_angle_beta 90.00
_cell_angle_gamma 90.00
loop_
_atom_site_label
_atom_site_type_symbol
_atom_site_fract_x
_atom_site_fract_y
_atom_site_fract_z
Nd1 Nd 0.0000 0.0000 0.0000
Mg1 Mg 0.0000 0.0000 0.5000
Pd1 Pd 0.2500 0.2500 0.7500
Ru1 Ru 0.2500 0.2500 0.2500
# ΔH_f (0 K) ... -304 meV per atom
# Crystal system ... cubic

(2)
# PBE RbBa2NaHg, optimized geometry
data_RbBa2NaHg
_chemical_formula_sum 'Rb1 Ba2 Na1 Hg1'
_symmetry_space_group_name_H-M 'P 4/m m m'
_symmetry_Int_Tables_number 123
_symmetry_space_group_name_Hall '-P 4 2'
_cell_length_a 6.6701
_cell_length_b 6.6701
_cell_length_c 6.9578
_cell_angle_alpha 90.00
_cell_angle_beta 90.00
_cell_angle_gamma 90.00
loop_
_atom_site_label
_atom_site_type_symbol
_atom_site_fract_x
_atom_site_fract_y
_atom_site_fract_z
Rb1 Rb 0.0000 0.0000 0.0000
Ba1 Ba 0.0000 0.5000 0.5000
Na1 Na 0.5000 0.5000 0.0000
Hg1 Hg 0.0000 0.0000 0.5000
# ΔH_f (0 K) ... -61 meV per atom
# Crystal system ... tetragonal